## LaHg3Bi3 (PBE)

Data for a relaxed structure of LaHg3Bi3.

Lattice parameters (Å, degrees): 8.190 8.190 8.190 90.00 90.00 90.00
Site moments in Bohr magnetons follow the coordinates.
Element x y z (fractional)
Hg1 0.500 0.750 0.000  0.00
Bi1 0.000 0.750 0.500  -0.02
Bi2 0.750 0.500 0.000  -0.02
Hg2 0.000 0.500 0.750  0.00
La1 0.000 0.000 0.000  0.32
Bi3 0.250 0.500 0.000  -0.02
Bi4 0.500 0.000 0.250  -0.02
Hg3 0.750 0.000 0.500  0.00
La2 0.500 0.500 0.500  0.32
Hg4 0.500 0.250 0.000  0.00
Hg5 0.250 0.000 0.500  0.00
Bi5 0.500 0.000 0.750  -0.02
Hg6 0.000 0.500 0.250  0.00
Bi6 0.000 0.250 0.500  -0.02

Properties
M_tot, μB per formula unit: 0.35
Formation energy from the elements, eV per formula unit: 2.11
E, eV/atom: -2.194


## La3HgBi (PBE)

Data for a relaxed structure of La3HgBi.

Lattice parameters (Å, degrees): 4.574 10.000 9.675 119.34 118.20 89.99
Element x y z (fractional)
La1 0.333 0.456 0.583
Bi1 0.946 0.280 0.696
La2 0.253 0.691 0.003
La3 0.911 0.929 0.661
Hg1 0.378 0.148 0.127
La4 0.089 0.071 0.339
Hg2 0.622 0.852 0.873
Bi2 0.054 0.720 0.304
La5 0.747 0.309 0.997
La6 0.667 0.544 0.417

Properties
M_tot, μB per formula unit: 0.00
Formation energy from the elements, eV per formula unit: -2.67
E, eV/atom: -4.326
Polymorph energy (0 for the lowest one), eV/f.u.: 0.000


## La2Hg2Bi (PBE)

Data for a relaxed structure of La2Hg2Bi.

Lattice parameters (Å, degrees): 10.002 10.002 9.013 27.96 27.96 26.79
Element x y z (fractional)
La1 0.678 0.678 0.851
Hg1 0.658 0.658 0.272
La2 0.322 0.322 0.149
Bi1 0.000 0.000 0.000
Hg2 0.342 0.342 0.728

Properties
M_tot, μB per formula unit: 0.00
Formation energy from the elements, eV per formula unit: -2.77
E, eV/atom: -3.423
Polymorph energy (0 for the lowest one), eV/f.u.: 0.042


## LaHgBi (PBE)

Data for a relaxed structure of LaHgBi.

Lattice parameters (Å, degrees): 4.540 4.915 4.915 120.00 90.00 90.00
Element x y z (fractional)
Hg1 0.995 0.000 0.000
La1 0.293 0.333 0.667
Bi1 0.712 0.667 0.333

Properties
M_tot, μB per formula unit: 0.00
Formation energy from the elements, eV per formula unit: -1.94
E, eV/atom: -3.684
Polymorph energy (0 for the lowest one), eV/f.u.: 0.000


## LaHg2Bi2 (PBE)

Data for a relaxed structure of LaHg2Bi2.

Lattice parameters (Å, degrees): 4.359 4.359 9.394 76.58 76.58 90.00
Element x y z (fractional)
Bi1 0.586 0.586 0.827
La1 0.000 0.000 0.000
Hg1 0.750 0.250 0.500
Bi2 0.414 0.414 0.173
Hg2 0.250 0.750 0.500

Properties
M_tot, μB per formula unit: 0.00
Formation energy from the elements, eV per formula unit: -1.55
E, eV/atom: -2.969
Polymorph energy (0 for the lowest one), eV/f.u.: 0.569


## LaHgBi4 (PBE)

Data for a relaxed structure of LaHgBi4.

Lattice parameters (Å, degrees): 6.567 6.567 6.567 60.00 60.00 60.00
Element x y z (fractional)
Bi1 0.626 0.122 0.626
La1 0.250 0.250 0.250
Bi2 0.626 0.626 0.626
Hg1 0.000 0.000 0.000
Bi3 0.626 0.626 0.122
Bi4 0.122 0.626 0.626

Properties
M_tot, μB per formula unit: 0.00
Formation energy from the elements, eV per formula unit: -1.11
E, eV/atom: -3.644
Polymorph energy (0 for the lowest one), eV/f.u.: 0.510


## LaHgBi2 (PBE)

Data for a relaxed structure of LaHgBi2.

Lattice parameters (Å, degrees): 4.971 4.907 4.907 90.00 90.00 90.00
Element x y z (fractional)
Bi1 0.000 0.500 0.000
Bi2 0.000 0.000 0.500
La1 0.500 0.000 0.000
Hg1 0.500 0.500 0.500

Properties
M_tot, μB per formula unit: 0.00
Formation energy from the elements, eV per formula unit: -2.24
E, eV/atom: -3.808


## LaHg2Bi2 (PBE)

Data for a relaxed structure of LaHg2Bi2.

Lattice parameters (Å, degrees): 8.569 8.569 4.124 90.00 90.00 90.00
Element x y z (fractional)
Bi1 0.365 0.865 0.000
Hg1 0.337 0.163 0.500
Bi2 0.865 0.635 0.000
Bi3 0.635 0.135 0.000
Hg2 0.163 0.663 0.500
La1 0.500 0.500 0.000
Hg3 0.837 0.337 0.500
Hg4 0.663 0.837 0.500
La2 0.000 0.000 0.000
Bi4 0.135 0.365 0.000

Properties
M_tot, μB per formula unit: 0.00
Formation energy from the elements, eV per formula unit: -0.97
E, eV/atom: -2.852
Polymorph energy (0 for the lowest one), eV/f.u.: 1.152


## La2HgBi4 (PBE)

Data for a relaxed structure of La2HgBi4.

Lattice parameters (Å, degrees): 6.867 6.867 6.947 119.93 119.93 89.62
Element x y z (fractional)
Bi1 0.786 0.286 0.071
La1 0.286 0.786 0.571
Bi2 0.786 0.786 0.072
Hg1 0.786 0.786 0.572
Bi3 0.286 0.786 0.071
Bi4 0.286 0.286 0.071
La2 0.786 0.286 0.571

Properties
M_tot, μB per formula unit: 0.00
Formation energy from the elements, eV per formula unit: -4.06
E, eV/atom: -4.248
Polymorph energy (0 for the lowest one), eV/f.u.: 0.271


## LaHgBi (PBE)

Data for a relaxed structure of LaHgBi.

Lattice parameters (Å, degrees): 4.412 4.412 5.783 112.43 112.43 90.00
Element x y z (fractional)
Bi1 0.956 0.956 0.913
La1 0.609 0.609 0.219
Hg1 0.284 0.284 0.568

Properties
M_tot, μB per formula unit: 0.00
Formation energy from the elements, eV per formula unit: -1.64
E, eV/atom: -3.583
Polymorph energy (0 for the lowest one), eV/f.u.: 0.304


## LaHgBi4 (PBE)

Data for a relaxed structure of LaHgBi4.

Lattice parameters (Å, degrees): 5.980 6.536 6.538 61.72 62.79 62.78
Element x y z (fractional)
Bi1 0.668 0.070 0.095
La1 0.000 0.000 0.500
Bi2 0.668 0.596 0.568
Hg1 0.000 0.500 0.000
Bi3 0.332 0.930 0.905
Bi4 0.332 0.404 0.432

Properties
M_tot, μB per formula unit: 0.00
Formation energy from the elements, eV per formula unit: -1.62
E, eV/atom: -3.730
Polymorph energy (0 for the lowest one), eV/f.u.: 0.000


## La2Hg2Bi (PBE)

Data for a relaxed structure of La2Hg2Bi.

Lattice parameters (Å, degrees): 8.195 8.195 4.570 90.00 90.00 90.00
Element x y z (fractional)
Hg1 0.872 0.628 0.000
Hg2 0.372 0.872 0.000
La1 0.331 0.169 0.500
La2 0.831 0.331 0.500
Bi1 0.500 0.500 0.000
Hg3 0.628 0.128 0.000
La3 0.669 0.831 0.500
Hg4 0.128 0.372 0.000
La4 0.169 0.669 0.500
Bi2 0.000 0.000 0.000

Properties
M_tot, μB per formula unit: 0.00
Formation energy from the elements, eV per formula unit: -2.82
E, eV/atom: -3.431
Polymorph energy (0 for the lowest one), eV/f.u.: 0.000


## La2HgBi2 (PBE)

Data for a relaxed structure of La2HgBi2.

Lattice parameters (Å, degrees): 6.322 6.322 6.555 61.17 61.17 90.00
Site moments in Bohr magnetons follow the coordinates.
Element x y z (fractional)
Hg1 0.000 0.000 0.000  0.03
Bi1 0.328 0.328 0.344  -0.01
La1 0.750 0.250 0.500  0.11
Bi2 0.672 0.672 0.656  -0.01
La2 0.250 0.750 0.500  0.11

Properties
M_tot, μB per formula unit: 0.73
Formation energy from the elements, eV per formula unit: -2.03
E, eV/atom: -3.989
Polymorph energy (0 for the lowest one), eV/f.u.: 1.708


## La2HgBi2 (PBE)

Data for a relaxed structure of La2HgBi2.

Lattice parameters (Å, degrees): 8.733 8.733 4.350 90.00 90.00 90.00
Element x y z (fractional)
Bi1 0.649 0.149 0.000
La1 0.842 0.342 0.500
La2 0.342 0.158 0.500
La3 0.658 0.842 0.500
Bi2 0.851 0.649 0.000
Hg1 0.000 0.000 0.000
La4 0.158 0.658 0.500
Bi3 0.351 0.851 0.000
Hg2 0.500 0.500 0.000
Bi4 0.149 0.351 0.000

Properties
M_tot, μB per formula unit: 0.00
Formation energy from the elements, eV per formula unit: -3.44
E, eV/atom: -4.272
Polymorph energy (0 for the lowest one), eV/f.u.: 0.293


## LaHg2Bi2 (PBE)

Data for a relaxed structure of LaHg2Bi2.

Lattice parameters (Å, degrees): 4.774 4.774 7.680 71.89 71.89 90.00
Element x y z (fractional)
La1 0.000 0.000 0.000
Bi1 0.750 0.250 0.500
Hg1 0.600 0.600 0.800
Bi2 0.250 0.750 0.500
Hg2 0.400 0.400 0.200

Properties
M_tot, μB per formula unit: 0.00
Formation energy from the elements, eV per formula unit: -0.83
E, eV/atom: -2.825
Polymorph energy (0 for the lowest one), eV/f.u.: 1.289


## La2HgBi4 (PBE)

Data for a relaxed structure of La2HgBi4.

Lattice parameters (Å, degrees): 4.691 4.691 10.372 90.00 90.00 90.00
Element x y z (fractional)
La1 0.000 0.500 0.246
Bi1 0.500 0.500 0.500
Bi2 0.500 0.000 0.184
Bi3 0.000 0.000 0.500
Hg1 0.500 0.500 0.000
Bi4 0.000 0.500 0.816
La2 0.500 0.000 0.754

Properties
M_tot, μB per formula unit: 0.00
Formation energy from the elements, eV per formula unit: -4.33
E, eV/atom: -4.287
Polymorph energy (0 for the lowest one), eV/f.u.: 0.000


## La3HgBi (PBE)

Data for a relaxed structure of La3HgBi.

Lattice parameters (Å, degrees): 5.901 5.901 5.901 90.00 90.00 90.00
Element x y z (fractional)
Bi1 0.500 0.500 0.500
Hg1 0.000 0.000 0.000
La1 0.500 0.000 0.000
La2 0.000 0.000 0.500
La3 0.000 0.500 0.000

Properties
M_tot, μB per formula unit: 0.00
Formation energy from the elements, eV per formula unit: -0.55
E, eV/atom: -3.902
Polymorph energy (0 for the lowest one), eV/f.u.: 2.122


## La2Hg2Bi (PBE)

Data for a relaxed structure of La2Hg2Bi.

Lattice parameters (Å, degrees): 8.949 8.949 4.006 90.00 90.00 90.00
Element x y z (fractional)
La1 0.169 0.331 0.000
Hg1 0.870 0.370 0.500
La2 0.331 0.831 0.000
Hg2 0.370 0.130 0.500
La3 0.669 0.169 0.000
Bi1 0.000 0.000 0.000
Hg3 0.130 0.630 0.500
Bi2 0.500 0.500 0.000
Hg4 0.630 0.870 0.500
La4 0.831 0.669 0.000

Properties
M_tot, μB per formula unit: 0.00
Formation energy from the elements, eV per formula unit: -2.21
E, eV/atom: -3.310
Polymorph energy (0 for the lowest one), eV/f.u.: 0.606


## La4Hg2Bi (PBE)

Data for a relaxed structure of La4Hg2Bi.

Lattice parameters (Å, degrees): 5.454 5.454 9.652 73.59 73.59 60.00
Element x y z (fractional)
La1 0.131 0.131 0.608
La2 0.380 0.380 0.859
Hg1 0.246 0.246 0.263
Bi1 0.000 0.000 0.000
La3 0.620 0.620 0.141
La4 0.869 0.869 0.392
Hg2 0.754 0.754 0.737

Properties
M_tot, μB per formula unit: 0.00
Formation energy from the elements, eV per formula unit: -2.96
E, eV/atom: -3.878
Polymorph energy (0 for the lowest one), eV/f.u.: 0.000


## LiLaHgBi (PBE)

Data for a relaxed structure of LiLaHgBi.

Lattice parameters (Å, degrees): 5.389 5.389 5.389 60.00 60.00 60.00
Element x y z (fractional)
Hg1 0.750 0.750 0.750
Li1 0.000 0.000 0.000
La1 0.500 0.500 0.500
Bi1 0.250 0.250 0.250

Properties
M_tot, μB per formula unit: 0.00
Formation energy from the elements, eV per formula unit: -2.24
E, eV/atom: -3.316


## LaMgHgBi (PBE)

Data for a relaxed structure of LaMgHgBi.

Lattice parameters (Å, degrees): 5.426 5.426 5.426 60.00 60.00 60.00
Element x y z (fractional)
Mg1 0.750 0.750 0.750
Hg1 0.500 0.500 0.500
Bi1 0.000 0.000 0.000
La1 0.250 0.250 0.250

Properties
M_tot, μB per formula unit: 0.00
Formation energy from the elements, eV per formula unit: -1.78
E, eV/atom: -3.120


## La7HgBi2N2 (PBE)

Data for a relaxed structure of La7HgBi2N2.

Lattice parameters (Å, degrees): 5.077 5.077 13.970 79.51 79.51 89.97
Element x y z (fractional)
La1 0.091 0.591 0.819
La2 0.409 0.909 0.181
La3 0.309 0.309 0.380
Hg1 0.000 0.000 0.000
La4 0.500 0.500 0.000
Bi1 0.183 0.183 0.636
Bi2 0.817 0.817 0.364
N1 0.600 0.600 0.801
La5 0.591 0.091 0.819
N2 0.400 0.400 0.199
La6 0.691 0.691 0.620
La7 0.909 0.409 0.181

Properties
M_tot, μB per formula unit: 0.00
Energy relative to the elements, uncorrected, eV per atom: -0.934
E, eV/atom: -5.868


## Na2LaHgBi2 (PBE)

Data for a relaxed structure of Na2LaHgBi2.

Lattice parameters (Å, degrees): 4.720 8.625 9.344 90.00 90.00 90.00
Element x y z (fractional)
La1 0.000 0.979 0.457
Bi1 0.500 0.245 0.386
Bi2 0.500 0.745 0.614
Na1 0.500 0.057 0.071
La2 0.000 0.479 0.543
Hg1 0.500 0.619 0.304
Na2 0.500 0.557 0.929
Na3 0.000 0.377 0.167
Bi3 0.000 0.269 0.843
Na4 0.000 0.877 0.833
Bi4 0.000 0.769 0.157
Hg2 0.500 0.119 0.696

Properties
M_tot, μB per formula unit: 0.00
Formation energy from the elements, eV per formula unit: -2.90
E, eV/atom: -3.088


## LaNdHgBi (PBE)

Data for a relaxed structure of LaNdHgBi.

Lattice parameters (Å, degrees): 5.563 5.563 5.563 60.00 60.00 60.00
Element x y z (fractional)
Bi1 0.250 0.250 0.250
Nd1 0.500 0.500 0.500
La1 0.000 0.000 0.000
Hg1 0.750 0.750 0.750

Properties
M_tot, μB per formula unit: 0.00
Formation energy from the elements, eV per formula unit: -2.46
E, eV/atom: -4.084


## La2NiHgBi (PBE)

Data for a relaxed structure of La2NiHgBi.

Lattice parameters (Å, degrees): 5.401 5.401 4.951 90.00 90.00 90.00
Element x y z (fractional)
La1 0.000 0.500 0.000
La2 0.500 0.000 0.000
Bi1 0.500 0.500 0.500
Hg1 0.000 0.000 0.500
Ni1 0.000 0.000 0.000

Properties
M_tot, μB per formula unit: 0.00
Formation energy from the elements, eV per formula unit: -2.72
E, eV/atom: -4.508


## LaNiHg2Bi (PBE)

Data for a relaxed structure of LaNiHg2Bi.

Lattice parameters (Å, degrees): 5.046 5.046 5.208 90.00 90.00 90.00
Element x y z (fractional)
Ni1 0.000 0.000 0.000
Hg1 0.000 0.500 0.000
Bi1 0.500 0.500 0.500
Hg2 0.500 0.000 0.000
La1 0.000 0.000 0.500

Properties
M_tot, μB per formula unit: 0.00
Formation energy from the elements, eV per formula unit: -1.39
E, eV/atom: -3.316